(1)
Material: TaTc2Br
Method: DFT, PBE-GGA
State: optimized geometry

Geometry as POSCAR:
```
TaTc2Br
1.0
4.4525 0.0000 0.0000
0.0000 3.0541 0.0000
-1.8857 0.0000 4.8781
Ta Tc Br
1 2 1
direct
0.0000 0.0000 0.0000
0.5000 0.0000 0.5000
0.5000 0.5000 0.0000
0.0000 0.5000 0.5000
```

Uncorrected energy ... -7.87 eV/atom
E_form (uncorrected) ... 0.692 eV/atom
Offset from the most stable computed form ... 0.410 eV per atom
Density of states at the Fermi level ... 3.69 states/eV/f.u.



(2)
Material: YSnHgF2
Method: DFT, PBE-GGA
State: optimized geometry

Geometry as POSCAR:
```
YSnHgF2
1.0
4.3347 0.0000 0.0000
0.0000 4.3347 0.0000
0.0000 0.0000 6.6346
Y Sn Hg F
1 1 1 2
direct
0.0000 0.0000 0.0000
0.0000 0.0000 0.5000
0.5000 0.5000 0.5000
0.0000 0.5000 0.0000
0.5000 0.0000 0.0000
```

Uncorrected energy ... -5.05 eV/atom
E_form (uncorrected) ... -2.144 eV/atom
Density of states at the Fermi level ... 1.74 states/eV/f.u.



(3)
Material: CeTiN
Method: DFT, PBE-GGA
State: optimized geometry

Geometry as POSCAR:
```
CeTiN
1.0
3.1653 0.0000 0.0000
-1.5826 2.7412 0.0000
0.0000 0.0000 5.7694
Ce Ti N
1 1 1
direct
0.0000 0.0000 0.0000
0.6667 0.3333 0.5407
0.3333 0.6667 0.7012
```

Uncorrected energy ... -8.32 eV/atom
E_form (uncorrected) ... -0.936 eV/atom
Offset from the most stable computed form ... 0.000 eV per atom
Density of states at the Fermi level ... 4.41 states/eV/f.u.